{"formula": "GdHfTl2", "functional": "PBE-GGA", "state": "optimized geometry", "lattice_angstrom": [[3.318, 0.000, 0.000], [0.000, 3.318, 0.000], [0.000, 0.000, 9.001]], "species": ["Gd", "Hf", "Tl", "Tl"], "frac_coords": [[0.000, 0.000, 0.000], [0.000, 0.000, 0.500], [0.500, 0.500, 0.263], [0.500, 0.500, 0.737]], "magmom_total_mub_per_cell": 7.546, "n_ef_per_ev_atom": 0.92, "formation_energy_ev_per_atom": -0.102, "vol_a3_per_atom": 24.8, "polymorph_energy_ev_per_fu": 0.00}